Run A
## Tl2ReNi (PBE-GGA)

Data for a relaxed Tl2ReNi crystal.

The structure in POSCAR format:
```
Tl2ReNi
1.0
-4.2041 -0.6967 1.7558
1.6005 -3.5917 2.4043
0.7359 2.0527 2.5766
Ni Re Tl
1 1 2
direct
0.5000 0.0000 0.5000
0.0000 0.5000 0.5000
0.0000 0.0000 0.0000
0.5000 0.5000 0.0000
```

Values from the calculation:
M_tot = 0.000 μB/f.u.

=====

Run B
## Tl2ReNi (PBE-GGA)

Data for a relaxed Tl2ReNi crystal.

The structure in POSCAR format:
```
Tl2ReNi
1.0
9.5951 -0.0344 -0.0202
9.1123 3.0055 -0.0202
9.1123 1.4472 2.6342
Ni Re Tl
1 1 2
direct
0.4912 0.4912 0.4912
0.7625 0.7625 0.7625
0.0083 0.0083 0.0083
0.2380 0.2380 0.2380
```

Values from the calculation:
M_tot = 0.000 μB/f.u.

=====

Run C
## Tl2ReNi (PBE-GGA)

Data for a relaxed Tl2ReNi crystal.

The structure in POSCAR format:
```
Tl2ReNi
1.0
4.1474 0.0000 0.0000
0.0000 4.1474 0.0000
2.0737 2.0737 9.4864
Re Tl Ni
2 4 2
direct
0.0000 0.0000 0.0000
0.7500 0.2500 0.5000
0.6234 0.1250 0.2500
0.1266 0.6250 0.2500
0.3750 0.3766 0.7500
0.8750 0.8734 0.7500
0.5000 0.5000 0.0000
0.2500 0.7500 0.5000
```

Values from the calculation:
M_tot = 0.809 μB/f.u.

=====

run B wins, 180 meV per atom ahead of the next structure.

=====

Run A
## TlRe3Ni (PBE-GGA)

Data for a relaxed TlRe3Ni crystal.

The structure in POSCAR format:
```
TlRe3Ni
1.0
4.8824 0.0000 0.0000
0.0000 4.8824 0.0000
0.0000 0.0000 4.8824
Re Tl Ni
3 1 1
direct
0.0000 0.5000 0.0000
0.0000 0.0000 0.5000
0.5000 0.0000 0.0000
0.0000 0.0000 0.0000
0.5000 0.5000 0.5000
```

Values from the calculation:
M_tot = 0.000 μB/f.u.

=====

Run B
## TlRe3Ni (PBE-GGA)

Data for a relaxed TlRe3Ni crystal.

The structure in POSCAR format:
```
TlRe3Ni
1.0
4.4981 0.0000 0.0000
0.0000 4.4981 0.0000
0.0000 0.0000 4.4981
Re Tl Ni
3 1 1
direct
0.0000 0.5000 0.0000
0.0000 0.0000 0.5000
0.5000 0.0000 0.0000
0.5000 0.5000 0.5000
0.0000 0.0000 0.0000
```

Values from the calculation:
M_tot = 0.000 μB/f.u.

=====

run B wins, 1845 meV per atom ahead of the next structure.

=====

Run A
## Tl3ReNi (PBE-GGA)

Data for a relaxed Tl3ReNi crystal.

The structure in POSCAR format:
```
Tl3ReNi
1.0
-1.7719 4.8610 -1.2454
0.1973 -1.2522 -5.1685
-5.0142 -1.7670 0.2367
Re Tl Ni
1 3 1
direct
0.0000 0.0000 0.0000
0.0000 0.5000 0.0000
0.0000 0.0000 0.5000
0.5000 0.0000 0.0000
0.5000 0.5000 0.5000
```

Values from the calculation:
M_tot = 0.169 μB/f.u.

=====

Run B
## Tl3ReNi (PBE-GGA)

Data for a relaxed Tl3ReNi crystal.

The structure in POSCAR format:
```
Tl3ReNi
1.0
5.0243 0.0000 0.0000
0.0000 5.0243 0.0000
0.0000 0.0000 5.0243
Re Tl Ni
1 3 1
direct
0.5000 0.5000 0.5000
0.0000 0.5000 0.0000
0.0000 0.0000 0.5000
0.5000 0.0000 0.0000
0.0000 0.0000 0.0000
```

Values from the calculation:
M_tot = 3.587 μB/f.u.

=====

run B wins, 69 meV per atom ahead of the next structure.

=====

Run A
## UReNi (PBE-GGA)

Data for a relaxed UReNi crystal.

The structure in POSCAR format:
```
UReNi
1.0
-2.4302 0.0867 -1.7739
0.2242 -2.9674 -0.4522
-2.0711 0.5445 5.4178
Re U Ni
1 1 1
direct
0.3497 0.3497 0.6994
0.6694 0.6694 0.3389
0.9809 0.9809 0.9618
```

Values from the calculation:
M_tot = 0.000 μB/f.u.

=====

Run B
## UReNi (PBE-GGA)

Data for a relaxed UReNi crystal.

The structure in POSCAR format:
```
UReNi
1.0
2.7398 0.0000 0.0000
0.0000 4.5239 0.0000
0.0000 -2.2619 3.9178
Re U Ni
1 1 1
direct
0.3284 0.6667 0.3333
0.9849 0.0000 0.0000
0.6866 0.3333 0.6667
```

Values from the calculation:
M_tot = 0.000 μB/f.u.

=====

Run C
## UReNi (PBE-GGA)

Data for a relaxed UReNi crystal.

The structure in POSCAR format:
```
UReNi
1.0
3.9643 0.0000 0.0000
0.0000 3.8117 0.0000
-1.9822 0.0000 6.4752
Re Ni U
2 2 2
direct
0.4056 0.7500 0.8112
0.5944 0.2500 0.1888
0.7527 0.7500 0.5053
0.2473 0.2500 0.4947
0.9020 0.2500 0.8041
0.0980 0.7500 0.1959
```

Values from the calculation:
M_tot = 0.174 μB/f.u.

=====

run C wins, 252 meV per atom ahead of the next structure.